No. 1
## Pr5ScGa5 (PBE)

Data for an optimized crystal structure of Pr5ScGa5.

energy relative to the elements: -0.350 eV per atom

abc: 8.5511 8.5511 6.8660
angles: 107.65 107.65 38.55
Last column: nearest neighbours and their distance in Å.
Fractional positions:
Pr  0.0000  0.0000  0.0000  2 Ga 3.04
Pr  0.3054  0.3054  0.2575  5 Ga 2.98-3.06
Pr  0.3668  0.3668  0.7916  5 Ga 3.28-3.51, 4 Pr 3.48-3.64
Pr  0.6332  0.6332  0.2084  5 Ga 3.28-3.51, 4 Pr 3.48-3.64
Pr  0.6946  0.6946  0.7425  5 Ga 2.98-3.06
Sc  0.0000  0.0000  0.5000  6 Ga 2.73-2.94
Ga  0.1601  0.1601  0.8575  1 Ga 2.72, 1 Sc 2.94, 4 Pr 2.98-3.04
Ga  0.1635  0.1635  0.4640  1 Ga 2.72, 1 Sc 2.73
Ga  0.5000  0.5000  0.5000  2 Sc 2.82, 2 Pr 3.05
Ga  0.8365  0.8365  0.5360  1 Ga 2.72, 1 Sc 2.73
Ga  0.8399  0.8399  0.1425  1 Ga 2.72, 1 Sc 2.94, 4 Pr 2.98-3.04



No. 2
## NiSn4Au (PBE)

Data for an optimized crystal structure of NiSn4Au.

energy above the most stable polymorph in this dataset: 0.0 meV per atom
energy relative to the elements: -0.127 eV per atom

abc: 4.5868 4.5868 6.7200
angles: 90.00 90.00 90.00
Last column: nearest neighbours and their distance in Å.
Fractional positions:
Ni  0.0000  0.0000  0.0000  8 Sn 2.77
Sn  0.0000  0.5000  0.2322  2 Ni 2.77, 2 Au 2.92
Sn  0.0000  0.5000  0.7678  2 Ni 2.77, 2 Au 2.92
Sn  0.5000  0.0000  0.2322  2 Ni 2.77, 2 Au 2.92
Sn  0.5000  0.0000  0.7678  2 Ni 2.77, 2 Au 2.92
Au  0.5000  0.5000  0.5000  8 Sn 2.92



No. 3
## Er4Al3In (PBE)

Data for an optimized crystal structure of Er4Al3In.

energy above the most stable polymorph in this dataset: 0.0 meV per atom
energy relative to the elements: -0.404 eV per atom

abc: 3.5595 3.5595 14.8353
angles: 90.00 90.00 90.00
Last column: nearest neighbours and their distance in Å.
Fractional positions:
Er  0.0000  0.0000  0.1198  8 Al 3.08-3.10
Er  0.0000  0.0000  0.3633  4 Al 3.10, 4 In 3.23
Er  0.0000  0.0000  0.6367  4 Al 3.10, 4 In 3.23
Er  0.0000  0.0000  0.8802  8 Al 3.08-3.10
Al  0.5000  0.5000  0.0000  8 Er 3.08
Al  0.5000  0.5000  0.2415  8 Er 3.10
Al  0.5000  0.5000  0.7585  8 Er 3.10
In  0.5000  0.5000  0.5000  8 Er 3.23, 4 In 3.56



No. 4
## Li4GaRh (PBE)

Data for an optimized crystal structure of Li4GaRh.

energy above the most stable polymorph in this dataset: 186.7 meV per atom
energy relative to the elements: -0.095 eV per atom

abc: 4.7979 4.7979 4.7979
angles: 60.00 60.00 60.00
Last column: nearest neighbours and their distance in Å.
Fractional positions:
Li  0.1238  0.1238  0.1238  6 Li 2.38-2.42
Li  0.1238  0.1238  0.6286  6 Li 2.38-2.42
Li  0.1238  0.6286  0.1238  6 Li 2.38-2.42
Li  0.6286  0.1238  0.1238  6 Li 2.38-2.42
Ga  0.5000  0.5000  0.5000  12 Li 2.82, 4 Rh 2.94
Rh  0.7500  0.7500  0.7500  12 Li 2.81, 4 Ga 2.94



No. 5
## TeHWI2 (PBE)

Data for an optimized crystal structure of TeHWI2.

energy above the most stable polymorph in this dataset: 0.0 meV per atom

abc: 5.7275 5.7275 5.2033
angles: 90.00 90.00 90.00
Last column: nearest neighbours and their distance in Å.
Fractional positions:
Te  0.0000  0.0000  0.0000  2 W 2.60
H  0.5000  0.5000  0.0000  8 I 3.87, 4 Te 4.05
W  0.0000  0.0000  0.5000  2 Te 2.60, 4 I 2.86
I  0.0000  0.5000  0.5000  2 W 2.86
I  0.5000  0.0000  0.5000  2 W 2.86



No. 6
## Sm7SbP5 (PBE)

Data for an optimized crystal structure of Sm7SbP5.

raw formation energy: -1434 meV/atom

abc: 7.0933 7.0933 24.3833
angles: 90.00 90.00 145.99
Last column: nearest neighbours and their distance in Å.
Fractional positions:
Sm  0.0314  0.9686  0.7500  2 P 2.80, 2 Sb 3.12
Sm  0.1362  0.8638  0.0344  6 P 2.89-2.93
Sm  0.1362  0.8638  0.4656  6 P 2.89-2.93
Sm  0.3248  0.6752  0.6716  3 P 2.75-2.83
Sm  0.3248  0.6752  0.8284  3 P 2.75-2.83
Sm  0.4091  0.5909  0.1039  5 P 2.82-2.92
Sm  0.4091  0.5909  0.3961  5 P 2.82-2.92
Sm  0.5909  0.4091  0.6039  5 P 2.82-2.92
Sm  0.5909  0.4091  0.8961  5 P 2.82-2.92
Sm  0.6752  0.3248  0.1716  3 P 2.75-2.83
Sm  0.6752  0.3248  0.3284  3 P 2.75-2.83
Sm  0.8638  0.1362  0.5344  6 P 2.89-2.93
Sm  0.8638  0.1362  0.9656  6 P 2.89-2.93
Sm  0.9686  0.0314  0.2500  2 P 2.80, 2 Sb 3.12
Sb  0.2972  0.7028  0.2500  6 Sm 3.12-3.27
Sb  0.7028  0.2972  0.7500  6 Sm 3.12-3.27
P  0.0431  0.9569  0.1428  6 Sm 2.80-2.93
P  0.0431  0.9569  0.3572  6 Sm 2.80-2.93
P  0.2280  0.7720  0.5724  6 Sm 2.75-2.93
P  0.2280  0.7720  0.9276  6 Sm 2.75-2.93
P  0.5000  0.5000  0.0000  6 Sm 2.82-2.90
P  0.5000  0.5000  0.5000  6 Sm 2.82-2.90
P  0.7720  0.2280  0.0724  6 Sm 2.75-2.93
P  0.7720  0.2280  0.4276  6 Sm 2.75-2.93
P  0.9569  0.0431  0.6428  6 Sm 2.80-2.93
P  0.9569  0.0431  0.8572  6 Sm 2.80-2.93



No. 7
## LiYHo2Se4 (PBE)

Data for an optimized crystal structure of LiYHo2Se4.

raw formation energy: -1738 meV/atom

abc: 7.0021 4.0310 7.0075
angles: 90.00 109.26 90.00
Last column: nearest neighbours and their distance in Å.
Fractional positions:
Li  0.0000  0.0000  0.0000  6 Se 2.80-2.83
Y  0.0000  0.5000  0.5000  6 Se 2.87
Ho  0.5000  0.0000  0.5000  6 Se 2.89-2.91
Ho  0.5000  0.5000  0.0000  6 Se 2.85
Se  0.2452  0.5000  0.2434  2 Li 2.83, 3 Ho 2.85-2.89, 1 Y 2.87
Se  0.2470  0.0000  0.7566  1 Li 2.80, 3 Ho 2.85-2.91, 2 Y 2.87
Se  0.7530  0.0000  0.2434  1 Li 2.80, 3 Ho 2.85-2.91, 2 Y 2.87
Se  0.7548  0.5000  0.7566  2 Li 2.83, 3 Ho 2.85-2.89, 1 Y 2.87



No. 8
## CePa2Cr (PBE)

Data for an optimized crystal structure of CePa2Cr.

energy above the most stable polymorph in this dataset: 0.0 meV per atom
energy relative to the elements: 0.195 eV per atom

abc: 3.3591 3.3591 7.8156
angles: 90.00 90.00 90.00
Last column: nearest neighbours and their distance in Å.
Fractional positions:
Ce  0.0000  0.0000  0.0000  8 Pa 3.28, 4 Ce 3.36
Pa  0.5000  0.5000  0.2897  4 Cr 2.89
Pa  0.5000  0.5000  0.7103  4 Cr 2.89
Cr  0.0000  0.0000  0.5000  8 Pa 2.89



No. 9
## SiSb3C (PBE)

Data for an optimized crystal structure of SiSb3C.

energy above the most stable polymorph in this dataset: 0.0 meV per atom
raw formation energy: 1118 meV/atom

abc: 4.7592 4.7592 4.7592
angles: 90.00 90.00 90.00
Last column: nearest neighbours and their distance in Å.
Fractional positions:
Si  0.0000  0.0000  0.0000  12 Sb 3.37
Sb  0.0000  0.5000  0.5000  2 C 2.38
Sb  0.5000  0.0000  0.5000  2 C 2.38
Sb  0.5000  0.5000  0.0000  2 C 2.38
C  0.5000  0.5000  0.5000  6 Sb 2.38



No. 10
## PrLuHgOs (PBE)

Data for an optimized crystal structure of PrLuHgOs.

energy relative to the elements: -0.164 eV per atom

abc: 5.0744 5.0744 5.0744
angles: 60.00 60.00 60.00
Last column: nearest neighbours and their distance in Å.
Fractional positions:
Pr  0.0000  0.0000  0.0000  4 Hg 3.11, 4 Os 3.11
Lu  0.5000  0.5000  0.5000  4 Hg 3.11, 4 Os 3.11
Hg  0.7500  0.7500  0.7500  4 Pr 3.11, 4 Lu 3.11
Os  0.2500  0.2500  0.2500  4 Pr 3.11, 4 Lu 3.11



No. 11
## RbGaSn (PBE)

Data for an optimized crystal structure of RbGaSn.

energy relative to the elements: -0.193 eV per atom

abc: 4.8736 4.8736 8.5392
angles: 90.00 90.00 90.00
Last column: nearest neighbours and their distance in Å.
Fractional positions:
Rb  0.2500  0.2500  0.1665  4 Sn 3.68, 4 Ga 3.75
Rb  0.7500  0.7500  0.8335  4 Sn 3.68, 4 Ga 3.75
Ga  0.2500  0.7500  0.5000  4 Sn 2.89
Ga  0.7500  0.2500  0.5000  4 Sn 2.89
Sn  0.2500  0.2500  0.6813  4 Ga 2.89
Sn  0.7500  0.7500  0.3187  4 Ga 2.89



No. 12
## Ba2InP (PBE)

Data for an optimized crystal structure of Ba2InP.

energy above the most stable polymorph in this dataset: 46.7 meV per atom
energy relative to the elements: -0.561 eV per atom

abc: 6.8149 6.8149 6.8149
angles: 144.49 133.79 59.60
Last column: nearest neighbours and their distance in Å.
Fractional positions:
Ba  0.0000  0.0000  0.0000  4 P 3.44, 2 In 3.61, 2 Ba 3.65
Ba  0.7095  0.2095  0.5000  4 In 3.54, 2 Ba 3.65, 4 P 3.70-3.91
In  0.2952  0.7952  0.5000  2 P 2.78
P  0.4507  0.4507  0.0000  2 In 2.78



No. 13
## TlSnAu4 (PBE)

Data for an optimized crystal structure of TlSnAu4.

energy above the most stable polymorph in this dataset: 54.7 meV per atom
energy relative to the elements: 0.020 eV per atom

abc: 5.6766 5.6766 5.6766
angles: 60.00 60.00 60.00
Last column: nearest neighbours and their distance in Å.
Fractional positions:
Tl  0.0000  0.0000  0.0000  12 Au 3.33, 4 Sn 3.48
Sn  0.7500  0.7500  0.7500  12 Au 3.33, 4 Tl 3.48
Au  0.3751  0.3751  0.3751  6 Au 2.84
Au  0.3751  0.3751  0.8747  6 Au 2.84
Au  0.3751  0.8747  0.3751  6 Au 2.84
Au  0.8747  0.3751  0.3751  6 Au 2.84



No. 14
## MgSbMo (PBE)

Data for an optimized crystal structure of MgSbMo.

energy above the most stable polymorph in this dataset: 206.8 meV per atom
raw formation energy: 292 meV/atom

abc: 4.8192 4.8192 2.9214
angles: 90.00 90.00 120.00
Last column: nearest neighbours and their distance in Å.
Fractional positions:
Mg  0.0000  0.0000  0.0000  2 Mg 2.92, 6 Mo 3.14, 6 Sb 3.14
Sb  0.6667  0.3333  0.5000  3 Mo 2.78, 2 Sb 2.92
Mo  0.3333  0.6667  0.5000  3 Sb 2.78, 2 Mo 2.92



No. 15
## Nd4Al3Ag (PBE)

Data for an optimized crystal structure of Nd4Al3Ag.

energy above the most stable polymorph in this dataset: 0.0 meV per atom
energy relative to the elements: -0.329 eV per atom

abc: 3.6749 3.6749 15.4386
angles: 90.00 90.00 90.00
Last column: nearest neighbours and their distance in Å.
Fractional positions:
Nd  0.0000  0.0000  0.1234  8 Al 3.22-3.25
Nd  0.0000  0.0000  0.3705  4 Al 3.20, 4 Ag 3.28
Nd  0.0000  0.0000  0.6295  4 Al 3.20, 4 Ag 3.28
Nd  0.0000  0.0000  0.8766  8 Al 3.22-3.25
Al  0.5000  0.5000  0.0000  8 Nd 3.22
Al  0.5000  0.5000  0.2497  8 Nd 3.20-3.25
Al  0.5000  0.5000  0.7503  8 Nd 3.20-3.25
Ag  0.5000  0.5000  0.5000  8 Nd 3.28



No. 16
## CePaAl (PBE)

Data for an optimized crystal structure of CePaAl.

energy above the most stable polymorph in this dataset: 89.9 meV per atom
energy relative to the elements: -0.012 eV per atom

abc: 3.0202 5.1241 8.9330
angles: 90.00 90.00 90.00
Last column: nearest neighbours and their distance in Å.
Fractional positions:
Ce  0.2500  0.2500  0.2465  2 Pa 2.90, 2 Ce 3.02, 1 Al 3.13
Ce  0.7500  0.7500  0.7535  2 Pa 2.90, 2 Ce 3.02, 1 Al 3.13
Pa  0.2500  0.7500  0.0944  2 Ce 2.90, 2 Pa 3.02, 2 Al 3.14
Pa  0.7500  0.2500  0.9056  2 Ce 2.90, 2 Pa 3.02, 2 Al 3.14
Al  0.2500  0.2500  0.5970  2 Al 3.02, 5 Ce 3.13-3.29, 2 Pa 3.14
Al  0.7500  0.7500  0.4030  2 Al 3.02, 5 Ce 3.13-3.29, 2 Pa 3.14



No. 17
## SrZnSbH (PBE)

Data for an optimized crystal structure of SrZnSbH.

final energy: -12.89 eV for the cell shown

abc: 4.4698 4.4698 5.0219
angles: 90.00 90.00 120.00
Last column: nearest neighbours and their distance in Å.
Fractional positions:
Sr  0.0000  0.0000  0.0000  3 H 2.60
Zn  0.3333  0.6667  0.4070  1 H 1.72
Sb  0.6667  0.3333  0.5466  3 Zn 2.67
H  0.3333  0.6667  0.0648  1 Zn 1.72



No. 18
## SbTeH (PBE)

Data for an optimized crystal structure of SbTeH.

energy above the most stable polymorph in this dataset: 136.5 meV per atom

abc: 4.0142 4.0142 4.9486
angles: 90.00 90.00 120.00
Last column: nearest neighbours and their distance in Å.
Fractional positions:
Sb  0.0000  0.0000  0.0000  3 H 2.37
Te  0.6667  0.3333  0.3662  3 Sb 2.94, 3 H 3.26
H  0.3333  0.6667  0.9037  3 Sb 2.37



No. 19
## KNaIn2Pd (PBE)

Data for an optimized crystal structure of KNaIn2Pd.

energy above the most stable polymorph in this dataset: 103.1 meV per atom
energy relative to the elements: -0.116 eV per atom

abc: 5.2472 5.2472 6.0128
angles: 90.00 90.00 90.00
Last column: nearest neighbours and their distance in Å.
Fractional positions:
K  0.0000  0.0000  0.0000  2 Pd 3.01
Na  0.5000  0.5000  0.0000  4 K 3.71, 8 In 3.99
In  0.0000  0.5000  0.5000  2 Pd 2.62
In  0.5000  0.0000  0.5000  2 Pd 2.62
Pd  0.0000  0.0000  0.5000  4 In 2.62



No. 20
## TbSmGeRu (PBE)

Data for an optimized crystal structure of TbSmGeRu.

energy above the most stable polymorph in this dataset: 0.0 meV per atom
energy relative to the elements: -0.594 eV per atom

abc: 3.8864 5.9167 5.9167
angles: 42.65 90.00 90.00
Last column: nearest neighbours and their distance in Å.
Fractional positions:
Tb  0.0000  0.0000  0.0000  4 Ru 2.95, 2 Ge 3.07
Sm  0.5000  0.2808  0.2808  1 Ru 2.95, 4 Ge 3.04
Ge  0.0000  0.6992  0.6992  2 Ru 2.56
Ru  0.5000  0.5485  0.5485  2 Ge 2.56